No. 1
Crystalline BeCdIr2 at its relaxed geometry, computed with PBE-GGA.

Cell lengths 4.6776, 4.6776, 2.8341 Å; angles 90.00, 90.00, 107.72 degrees
Fractional positions:
1 Be 0.0000 0.0000 0.0000
2 Cd 0.5000 0.5000 0.0000
3 Ir 0.0000 0.5000 0.5000
4 Ir 0.5000 0.0000 0.5000

Calculated values
For the energy relative to the lowest polymorph listed for this composition, the calculation gives 382 meV/atom. The uncorrected energy comes out at -5.30 eV/atom. The calculation puts the calculated formation energy at 0.295 eV per atom. Its density of states at the Fermi level is 4.84 states/eV/cell.

=====

No. 2
Crystalline CeSc3 at its relaxed geometry, computed with PBE-GGA.

Cell lengths 8.9320, 8.9320, 8.9320 Å; angles 43.75, 43.75, 43.75 degrees
Fractional positions:
1 Ce 0.0000 0.0000 0.0000
2 Ce 0.2219 0.2219 0.2219
3 Ce 0.7781 0.7781 0.7781
4 Sc 0.0000 0.5000 0.5000
5 Sc 0.2237 0.7224 0.7224
6 Sc 0.2776 0.2776 0.7763
7 Sc 0.2776 0.7763 0.2776
8 Sc 0.5000 0.0000 0.5000
9 Sc 0.5000 0.5000 0.0000
10 Sc 0.7224 0.2237 0.7224
11 Sc 0.7224 0.7224 0.2237
12 Sc 0.7763 0.2776 0.2776

Calculated values
For the energy relative to the lowest polymorph listed for this composition, the calculation gives 6 meV/atom. The uncorrected energy comes out at -6.17 eV/atom. The calculation puts the calculated formation energy at 0.067 eV per atom. Its density of states at the Fermi level is 20.90 states/eV/cell.